[1]
Below is SmNi5P3 after structural relaxation, with properties calculated at the PBE-GGA level.

Lattice parameters (Å, degrees): 6.086 6.086 11.411 90.00 90.00 145.66
Fractional coordinates of all 18 atoms:
Sm (0.161, 0.839, 0.750)
Sm (0.839, 0.161, 0.250)
Ni (0.000, 0.000, 0.000)
Ni (0.000, 0.000, 0.500)
Ni (0.200, 0.800, 0.071)
Ni (0.200, 0.800, 0.429)
Ni (0.449, 0.551, 0.645)
Ni (0.449, 0.551, 0.855)
Ni (0.551, 0.449, 0.145)
Ni (0.551, 0.449, 0.355)
Ni (0.800, 0.200, 0.571)
Ni (0.800, 0.200, 0.929)
P (0.117, 0.883, 0.250)
P (0.382, 0.618, 0.042)
P (0.382, 0.618, 0.458)
P (0.618, 0.382, 0.542)
P (0.618, 0.382, 0.958)
P (0.883, 0.117, 0.750)

Calculated values
* V: 238.4 Å³ per cell
* magnetization: 0.00 Bohr magnetons per cell
* DFT total energy: -55.92 eV per formula unit
* SG: Cmcm

---

[2]
Below is TbSmNi2P2 after structural relaxation, with properties calculated at the PBE-GGA level.

Lattice parameters (Å, degrees): 3.920 3.920 7.836 90.00 90.00 120.00
Fractional coordinates of all 6 atoms:
Tb (0.000, 0.000, 0.000)
Sm (0.000, 0.000, 0.500)
Ni (0.333, 0.667, 0.247)
Ni (0.667, 0.333, 0.753)
P (0.333, 0.667, 0.755)
P (0.667, 0.333, 0.245)

Calculated values
* V: 104.3 Å³ per cell
* magnetization: 0.00 Bohr magnetons per cell
* DFT total energy: -38.55 eV per formula unit
* SG: P-3m1

---

[3]
Below is Ni10SnP3 after structural relaxation, with properties calculated at the PBE-GGA level.

Lattice parameters (Å, degrees): 7.671 7.671 9.590 90.00 90.00 120.00
Fractional coordinates of all 42 atoms:
Ni (0.000, 0.000, 0.120)
Ni (0.000, 0.000, 0.880)
Ni (0.000, 0.338, 0.000)
Ni (0.000, 0.662, 0.000)
Ni (0.019, 0.509, 0.740)
Ni (0.138, 0.276, 0.300)
Ni (0.138, 0.862, 0.300)
Ni (0.189, 0.378, 0.572)
Ni (0.189, 0.811, 0.572)
Ni (0.276, 0.138, 0.700)
Ni (0.333, 0.667, 0.404)
Ni (0.333, 0.667, 0.883)
Ni (0.338, 0.000, 0.000)
Ni (0.338, 0.338, 0.000)
Ni (0.378, 0.189, 0.428)
Ni (0.491, 0.509, 0.740)
Ni (0.491, 0.981, 0.740)
Ni (0.509, 0.019, 0.260)
Ni (0.509, 0.491, 0.260)
Ni (0.622, 0.811, 0.572)
Ni (0.662, 0.000, 0.000)
Ni (0.662, 0.662, 0.000)
Ni (0.667, 0.333, 0.117)
Ni (0.667, 0.333, 0.596)
Ni (0.724, 0.862, 0.300)
Ni (0.811, 0.189, 0.428)
Ni (0.811, 0.622, 0.428)
Ni (0.862, 0.138, 0.700)
Ni (0.862, 0.724, 0.700)
Ni (0.981, 0.491, 0.260)
Sn (0.000, 0.000, 0.500)
Sn (0.333, 0.667, 0.139)
Sn (0.667, 0.333, 0.861)
P (0.000, 0.500, 0.500)
P (0.164, 0.329, 0.809)
P (0.164, 0.836, 0.809)
P (0.329, 0.164, 0.191)
P (0.500, 0.000, 0.500)
P (0.500, 0.500, 0.500)
P (0.671, 0.836, 0.809)
P (0.836, 0.164, 0.191)
P (0.836, 0.671, 0.191)

Calculated values
* V: 488.8 Å³ per cell
* magnetization: 0.02 Bohr magnetons per cell
* DFT total energy: -82.11 eV per formula unit
* SG: P-3m1

---

[4]
Below is Ni10Sn5P3 after structural relaxation, with properties calculated at the PBE-GGA level.

Lattice parameters (Å, degrees): 6.433 8.349 10.300 73.43 84.42 82.76
Fractional coordinates of all 36 atoms:
Ni (0.000, 0.000, 0.000)
Ni (0.056, 0.432, 0.127)
Ni (0.057, 0.704, 0.203)
Ni (0.135, 0.866, 0.375)
Ni (0.145, 0.350, 0.548)
Ni (0.269, 0.212, 0.963)
Ni (0.290, 0.727, 0.800)
Ni (0.340, 0.397, 0.306)
Ni (0.398, 0.607, 0.069)
Ni (0.419, 0.083, 0.294)
Ni (0.500, 0.500, 0.500)
Ni (0.581, 0.917, 0.706)
Ni (0.602, 0.393, 0.931)
Ni (0.660, 0.603, 0.694)
Ni (0.710, 0.273, 0.200)
Ni (0.731, 0.788, 0.037)
Ni (0.855, 0.650, 0.452)
Ni (0.865, 0.134, 0.625)
Ni (0.943, 0.296, 0.797)
Ni (0.944, 0.568, 0.873)
Sn (0.033, 0.184, 0.372)
Sn (0.208, 0.049, 0.759)
Sn (0.299, 0.449, 0.741)
Sn (0.351, 0.911, 0.131)
Sn (0.465, 0.818, 0.504)
Sn (0.535, 0.182, 0.496)
Sn (0.649, 0.089, 0.869)
Sn (0.701, 0.551, 0.259)
Sn (0.792, 0.951, 0.241)
Sn (0.967, 0.816, 0.628)
P (0.078, 0.720, 0.983)
P (0.197, 0.594, 0.400)
P (0.390, 0.316, 0.114)
P (0.610, 0.684, 0.886)
P (0.803, 0.406, 0.600)
P (0.922, 0.280, 0.017)

Calculated values
* V: 524.9 Å³ per cell
* magnetization: 0.01 Bohr magnetons per cell
* DFT total energy: -99.02 eV per formula unit
* SG: P-1

---

[5]
Below is TaNiP2 after structural relaxation, with properties calculated at the PBE-GGA level.

Lattice parameters (Å, degrees): 5.425 3.342 12.148 90.00 90.00 90.00
Fractional coordinates of all 16 atoms:
Ta (0.019, 0.250, 0.170)
Ta (0.481, 0.750, 0.670)
Ta (0.519, 0.250, 0.330)
Ta (0.981, 0.750, 0.830)
Ni (0.027, 0.250, 0.415)
Ni (0.473, 0.750, 0.915)
Ni (0.527, 0.250, 0.085)
Ni (0.973, 0.750, 0.585)
P (0.135, 0.250, 0.690)
P (0.188, 0.250, 0.965)
P (0.312, 0.750, 0.465)
P (0.365, 0.750, 0.190)
P (0.635, 0.250, 0.810)
P (0.688, 0.250, 0.535)
P (0.812, 0.750, 0.035)
P (0.865, 0.750, 0.310)

Calculated values
* V: 220.3 Å³ per cell
* magnetization: 0.00 Bohr magnetons per cell
* DFT total energy: -31.04 eV per formula unit
* SG: Pnma

---

[6]
Below is Ta5Ni4P4 after structural relaxation, with properties calculated at the PBE-GGA level.

Lattice parameters (Å, degrees): 7.248 7.248 7.248 93.40 93.40 151.83
Fractional coordinates of all 13 atoms:
Ta (0.000, 0.000, 0.000)
Ta (0.305, 0.369, 0.674)
Ta (0.369, 0.695, 0.064)
Ta (0.631, 0.305, 0.936)
Ta (0.695, 0.631, 0.326)
Ni (0.111, 0.587, 0.698)
Ni (0.413, 0.111, 0.523)
Ni (0.587, 0.889, 0.477)
Ni (0.889, 0.413, 0.302)
P (0.056, 0.258, 0.314)
P (0.258, 0.944, 0.203)
P (0.742, 0.056, 0.797)
P (0.944, 0.742, 0.686)

Calculated values
* V: 174.4 Å³ per cell
* magnetization: 0.00 Bohr magnetons per cell
* DFT total energy: -113.44 eV per formula unit
* SG: I4/m

---

[7]
Below is TbNiP after structural relaxation, with properties calculated at the PBE-GGA level.

Lattice parameters (Å, degrees): 3.906 3.906 7.774 90.00 90.00 120.00
Fractional coordinates of all 6 atoms:
Tb (0.000, 0.000, 0.000)
Tb (0.000, 0.000, 0.500)
Ni (0.333, 0.667, 0.250)
Ni (0.667, 0.333, 0.750)
P (0.333, 0.667, 0.750)
P (0.667, 0.333, 0.250)

Calculated values
* V: 102.7 Å³ per cell
* magnetization: 0.00 Bohr magnetons per cell
* DFT total energy: -19.28 eV per formula unit
* SG: P6_3/mmc

---

[8]
Below is NiTeP2 after structural relaxation, with properties calculated at the PBE-GGA level.

Lattice parameters (Å, degrees): 3.724 3.724 11.761 90.00 90.00 120.00
Fractional coordinates of all 8 atoms:
Ni (0.000, 0.000, 0.000)
Ni (0.000, 0.000, 0.500)
Te (0.000, 0.000, 0.250)
Te (0.000, 0.000, 0.750)
P (0.333, 0.667, 0.075)
P (0.333, 0.667, 0.425)
P (0.667, 0.333, 0.575)
P (0.667, 0.333, 0.925)

Calculated values
* V: 141.2 Å³ per cell
* magnetization: 0.00 Bohr magnetons per cell
* DFT total energy: -19.32 eV per formula unit
* SG: P6_3/mmc

---

[9]
Below is ThNiP2 after structural relaxation, with properties calculated at the PBE-GGA level.

Lattice parameters (Å, degrees): 5.303 5.303 5.303 135.96 135.96 64.04
Fractional coordinates of all 4 atoms:
Th (0.000, 0.000, 0.000)
Ni (0.250, 0.750, 0.500)
P (0.372, 0.372, 0.000)
P (0.628, 0.628, 0.000)

Calculated values
* V: 71.1 Å³ per cell
* magnetization: 0.00 Bohr magnetons per cell
* DFT total energy: -28.20 eV per formula unit
* SG: I-4m2

---

[10]
Below is ThNi2P2 after structural relaxation, with properties calculated at the PBE-GGA level.

Lattice parameters (Å, degrees): 8.208 3.940 9.804 90.00 90.00 90.00
Fractional coordinates of all 20 atoms:
Th (0.239, 0.250, 0.170)
Th (0.261, 0.750, 0.670)
Th (0.739, 0.250, 0.330)
Th (0.761, 0.750, 0.830)
Ni (0.050, 0.250, 0.876)
Ni (0.082, 0.250, 0.451)
Ni (0.418, 0.750, 0.951)
Ni (0.450, 0.750, 0.376)
Ni (0.550, 0.250, 0.624)
Ni (0.582, 0.250, 0.049)
Ni (0.918, 0.750, 0.549)
Ni (0.950, 0.750, 0.124)
P (0.030, 0.750, 0.338)
P (0.143, 0.750, 0.952)
P (0.357, 0.250, 0.452)
P (0.470, 0.250, 0.838)
P (0.530, 0.750, 0.162)
P (0.643, 0.750, 0.548)
P (0.857, 0.250, 0.048)
P (0.970, 0.250, 0.662)

Calculated values
* V: 317.1 Å³ per cell
* magnetization: 0.00 Bohr magnetons per cell
* DFT total energy: -34.61 eV per formula unit
* SG: Pnma

---

[11]
Below is ThNi5P2 after structural relaxation, with properties calculated at the PBE-GGA level.

Lattice parameters (Å, degrees): 5.812 5.812 5.812 142.16 113.06 79.54
Fractional coordinates of all 8 atoms:
Th (0.000, 0.000, 0.000)
Ni (0.157, 0.347, 0.810)
Ni (0.463, 0.653, 0.810)
Ni (0.500, 0.000, 0.500)
Ni (0.537, 0.347, 0.190)
Ni (0.843, 0.653, 0.190)
P (0.259, 0.759, 0.500)
P (0.741, 0.241, 0.500)

Calculated values
* V: 107.9 Å³ per cell
* magnetization: 0.00 Bohr magnetons per cell
* DFT total energy: -51.88 eV per formula unit
* SG: Immm

---

[12]
Below is TlNi3P5 after structural relaxation, with properties calculated at the PBE-GGA level.

Lattice parameters (Å, degrees): 4.847 4.847 7.432 90.00 90.00 120.00
Fractional coordinates of all 9 atoms:
Tl (0.000, 0.000, 0.000)
Ni (0.000, 0.500, 0.500)
Ni (0.500, 0.000, 0.500)
Ni (0.500, 0.500, 0.500)
P (0.000, 0.000, 0.500)
P (0.333, 0.667, 0.251)
P (0.333, 0.667, 0.749)
P (0.667, 0.333, 0.251)
P (0.667, 0.333, 0.749)

Calculated values
* V: 151.2 Å³ per cell
* magnetization: 0.58 Bohr magnetons per cell
* DFT total energy: -45.90 eV per formula unit
* SG: P6/mmm